First-principles (PBE) data for crystalline ZnGeOs at its relaxed geometry, as listed in OQMD via LeMat-Bulk.

Lattice parameters (Å, degrees): 4.1133 4.1133 4.1133 60.00 60.00 60.00
Sites, in units of the cell vectors:
Ge (0.0000, 0.0000, 0.0000)
Os (0.2500, 0.2500, 0.2500)
Zn (0.7500, 0.7500, 0.7500)

Results
For the electronic total energy, the calculation gives -5.3177 eV per atom. As for the crystal system: cubic. Its symmetry is No. 216.

First-principles (PBE) data for crystalline ZnGe2Os at its relaxed geometry, as listed in OQMD via LeMat-Bulk.

Lattice parameters (Å, degrees): 4.4731 4.4731 4.4731 60.00 60.00 60.00
Sites, in units of the cell vectors:
Ge (0.0000, 0.0000, 0.0000)
Ge (0.7500, 0.7500, 0.7500)
Os (0.5000, 0.5000, 0.5000)
Zn (0.2500, 0.2500, 0.2500)

Results
For the electronic total energy, the calculation gives -4.9006 eV per atom. As for the crystal system: cubic. Its symmetry is No. 216.

First-principles (PBE) data for crystalline ZnGeOs2 at its relaxed geometry, as listed in OQMD via LeMat-Bulk.

Lattice parameters (Å, degrees): 4.3741 4.3741 4.3741 60.00 60.00 60.00
Sites, in units of the cell vectors:
Ge (0.5000, 0.5000, 0.5000)
Os (0.0000, 0.0000, 0.0000)
Os (0.7500, 0.7500, 0.7500)
Zn (0.2500, 0.2500, 0.2500)

Results
For the electronic total energy, the calculation gives -6.5604 eV per atom. As for the crystal system: cubic. Its symmetry is No. 216.

First-principles (PBE) data for crystalline Si17Ge13PPd at its relaxed geometry, as listed in OQMD via LeMat-Bulk.

Lattice parameters (Å, degrees): 6.8728 10.3302 10.3719 81.24 83.75 71.42
Sites, in units of the cell vectors:
Ge (0.0065, 0.2473, 0.2497)
Ge (0.8710, 0.4902, 0.2923)
Ge (0.9992, 0.8729, 0.3729)
Ge (0.5023, 0.1924, 0.4324)
Ge (0.5000, 0.8061, 0.5611)
Ge (0.3697, 0.0466, 0.6087)
Ge (0.8721, 0.3615, 0.6671)
Ge (0.3810, 0.6628, 0.7486)
Ge (0.0041, 0.7423, 0.7512)
Ge (0.8740, 0.9824, 0.8024)
Ge (0.4938, 0.0500, 0.8221)
Ge (0.3830, 0.2951, 0.8606)
Ge (0.0037, 0.3748, 0.8787)
P (0.8854, 0.6053, 0.9283)
Pd (0.5251, 0.6893, 0.9453)
Si (0.9942, 0.0057, 0.0057)
Si (0.8645, 0.2370, 0.0507)
Si (0.4997, 0.3220, 0.0636)
Si (0.3714, 0.5589, 0.1035)
Si (0.0080, 0.6282, 0.1180)
Si (0.8661, 0.8603, 0.1665)
Si (0.4989, 0.9382, 0.1849)
Si (0.3803, 0.1726, 0.2283)
Si (0.4949, 0.5689, 0.3061)
Si (0.3742, 0.7980, 0.3543)
Si (0.8757, 0.1084, 0.4240)
Si (0.3718, 0.4291, 0.4786)
Si (0.0052, 0.5026, 0.4950)
Si (0.8728, 0.7294, 0.5468)
Si (0.9972, 0.1229, 0.6242)
Si (0.4991, 0.4367, 0.6808)
Si (0.3551, 0.9119, 0.9974)

Results
For the electronic total energy, the calculation gives -5.0691 eV per atom. As for the crystal system: triclinic. Its symmetry is No. 1.

First-principles (PBE) data for crystalline Si17Ge13PPd at its relaxed geometry, as listed in OQMD via LeMat-Bulk.

Lattice parameters (Å, degrees): 5.6215 3.9458 30.9724 90.00 90.14 90.00
Sites, in units of the cell vectors:
Ge (0.7569, 0.5000, 0.0014)
Ge (0.9939, 0.0000, 0.1237)
Ge (0.5067, 0.5000, 0.1890)
Ge (0.2447, 0.0000, 0.1891)
Ge (0.9940, 0.0000, 0.3745)
Ge (0.2545, 0.0000, 0.4392)
Ge (0.0025, 0.0000, 0.5045)
Ge (0.7398, 0.5000, 0.5060)
Ge (0.2544, 0.0000, 0.6851)
Ge (0.7466, 0.5000, 0.7447)
Ge (0.9909, 0.0000, 0.8712)
Ge (0.5045, 0.5000, 0.9355)
Ge (0.2437, 0.0000, 0.9368)
P (0.0077, 0.0000, 0.6241)
Pd (0.7863, 0.5000, 0.6248)
Si (0.0056, 0.0000, 0.0012)
Si (0.2566, 0.0000, 0.0621)
Si (0.4944, 0.5000, 0.0633)
Si (0.7450, 0.5000, 0.1243)
Si (0.9955, 0.0000, 0.2523)
Si (0.7557, 0.5000, 0.2529)
Si (0.2548, 0.0000, 0.3123)
Si (0.4960, 0.5000, 0.3134)
Si (0.7425, 0.5000, 0.3759)
Si (0.5041, 0.5000, 0.4393)
Si (0.2575, 0.0000, 0.5676)
Si (0.4901, 0.5000, 0.5713)
Si (0.4981, 0.5000, 0.6789)
Si (0.9968, 0.0000, 0.7476)
Si (0.2496, 0.0000, 0.8087)
Si (0.4894, 0.5000, 0.8088)
Si (0.7413, 0.5000, 0.8705)

Results
For the electronic total energy, the calculation gives -5.0806 eV per atom. As for the crystal system: monoclinic. Its symmetry is No. 6.

First-principles (PBE) data for crystalline Pm6Ge2P at its relaxed geometry, as listed in OQMD via LeMat-Bulk.

Lattice parameters (Å, degrees): 8.0899 8.0899 4.2007 90.00 90.00 120.00
Last column: magnetic moment on the atom in μB.
Sites, in units of the cell vectors:
Ge (0.6667, 0.3333, 0.5000)  -0.01
Ge (0.3333, 0.6667, 0.5000)  -0.01
P (0.0000, 0.0000, 0.0000)  -0.02
Pm (0.5922, 0.0000, 0.0000)  0.18
Pm (0.4078, 0.4078, 0.0000)  0.17
Pm (0.0000, 0.5922, 0.0000)  0.16
Pm (0.2621, 0.0000, 0.5000)  0.15
Pm (0.0000, 0.2621, 0.5000)  0.18
Pm (0.7379, 0.7379, 0.5000)  0.14

Results
For the electronic total energy, the calculation gives -5.5038 eV per atom. As for the crystal system: hexagonal. Its symmetry is No. 189.

First-principles (PBE) data for crystalline Si17Ge13PPt at its relaxed geometry, as listed in OQMD via LeMat-Bulk.

Lattice parameters (Å, degrees): 6.8662 10.3397 10.3720 81.25 83.68 71.37
Sites, in units of the cell vectors:
Ge (0.0062, 0.2474, 0.2496)
Ge (0.8707, 0.4901, 0.2926)
Ge (0.9993, 0.8730, 0.3728)
Ge (0.5021, 0.1924, 0.4324)
Ge (0.4995, 0.8067, 0.5606)
Ge (0.3701, 0.0468, 0.6088)
Ge (0.8719, 0.3616, 0.6673)
Ge (0.3806, 0.6630, 0.7485)
Ge (0.0021, 0.7430, 0.7513)
Ge (0.8744, 0.9831, 0.8025)
Ge (0.4939, 0.0513, 0.8219)
Ge (0.3821, 0.2960, 0.8612)
Ge (0.0023, 0.3750, 0.8788)
P (0.8823, 0.6060, 0.9291)
Pt (0.5253, 0.6888, 0.9444)
Si (0.9964, 0.0049, 0.0055)
Si (0.8649, 0.2362, 0.0506)
Si (0.5000, 0.3212, 0.0642)
Si (0.3734, 0.5587, 0.1023)
Si (0.0084, 0.6282, 0.1187)
Si (0.8668, 0.8603, 0.1665)
Si (0.4993, 0.9383, 0.1849)
Si (0.3800, 0.1722, 0.2287)
Si (0.4943, 0.5684, 0.3063)
Si (0.3744, 0.7977, 0.3540)
Si (0.8756, 0.1085, 0.4239)
Si (0.3716, 0.4288, 0.4790)
Si (0.0049, 0.5026, 0.4953)
Si (0.8727, 0.7294, 0.5467)
Si (0.9972, 0.1231, 0.6239)
Si (0.4988, 0.4366, 0.6811)
Si (0.3585, 0.9105, 0.9965)

Results
For the electronic total energy, the calculation gives -5.1110 eV per atom. As for the crystal system: triclinic. Its symmetry is No. 1.

First-principles (PBE) data for crystalline Si17Ge13PPt at its relaxed geometry, as listed in OQMD via LeMat-Bulk.

Lattice parameters (Å, degrees): 5.5564 3.9176 31.5022 90.00 91.02 90.00
Sites, in units of the cell vectors:
Ge (0.2429, 0.5000, 0.0018)
Ge (0.0054, 0.0000, 0.1240)
Ge (0.7567, 0.0000, 0.1887)
Ge (0.4920, 0.5000, 0.1891)
Ge (0.0074, 0.0000, 0.3729)
Ge (0.7505, 0.0000, 0.4364)
Ge (0.2717, 0.5000, 0.5006)
Ge (0.0063, 0.0000, 0.5015)
Ge (0.2766, 0.5000, 0.6269)
Ge (0.2117, 0.5000, 0.7498)
Ge (0.0000, 0.0000, 0.8720)
Ge (0.4910, 0.5000, 0.9369)
Ge (0.7547, 0.0000, 0.9372)
P (0.0088, 0.0000, 0.6251)
Pt (0.7364, 0.0000, 0.6824)
Si (0.9916, 0.0000, 0.0018)
Si (0.7442, 0.0000, 0.0621)
Si (0.5040, 0.5000, 0.0639)
Si (0.2570, 0.5000, 0.1243)
Si (0.0035, 0.0000, 0.2520)
Si (0.2450, 0.5000, 0.2520)
Si (0.7465, 0.0000, 0.3110)
Si (0.5043, 0.5000, 0.3122)
Si (0.2600, 0.5000, 0.3734)
Si (0.4998, 0.5000, 0.4358)
Si (0.5269, 0.5000, 0.5643)
Si (0.7694, 0.0000, 0.5651)
Si (0.5127, 0.5000, 0.6952)
Si (0.9535, 0.0000, 0.7473)
Si (0.7301, 0.0000, 0.8103)
Si (0.4881, 0.5000, 0.8115)
Si (0.2514, 0.5000, 0.8726)

Results
For the electronic total energy, the calculation gives -5.1218 eV per atom. As for the crystal system: monoclinic. Its symmetry is No. 6.

electronic total energy of number 6 (Pm6Ge2P)?
-5.5038 eV per atom

Repeat the fifth record exactly.
First-principles (PBE) data for crystalline Si17Ge13PPd at its relaxed geometry, as listed in OQMD via LeMat-Bulk.

Lattice parameters (Å, degrees): 5.6215 3.9458 30.9724 90.00 90.14 90.00
Sites, in units of the cell vectors:
Ge (0.7569, 0.5000, 0.0014)
Ge (0.9939, 0.0000, 0.1237)
Ge (0.5067, 0.5000, 0.1890)
Ge (0.2447, 0.0000, 0.1891)
Ge (0.9940, 0.0000, 0.3745)
Ge (0.2545, 0.0000, 0.4392)
Ge (0.0025, 0.0000, 0.5045)
Ge (0.7398, 0.5000, 0.5060)
Ge (0.2544, 0.0000, 0.6851)
Ge (0.7466, 0.5000, 0.7447)
Ge (0.9909, 0.0000, 0.8712)
Ge (0.5045, 0.5000, 0.9355)
Ge (0.2437, 0.0000, 0.9368)
P (0.0077, 0.0000, 0.6241)
Pd (0.7863, 0.5000, 0.6248)
Si (0.0056, 0.0000, 0.0012)
Si (0.2566, 0.0000, 0.0621)
Si (0.4944, 0.5000, 0.0633)
Si (0.7450, 0.5000, 0.1243)
Si (0.9955, 0.0000, 0.2523)
Si (0.7557, 0.5000, 0.2529)
Si (0.2548, 0.0000, 0.3123)
Si (0.4960, 0.5000, 0.3134)
Si (0.7425, 0.5000, 0.3759)
Si (0.5041, 0.5000, 0.4393)
Si (0.2575, 0.0000, 0.5676)
Si (0.4901, 0.5000, 0.5713)
Si (0.4981, 0.5000, 0.6789)
Si (0.9968, 0.0000, 0.7476)
Si (0.2496, 0.0000, 0.8087)
Si (0.4894, 0.5000, 0.8088)
Si (0.7413, 0.5000, 0.8705)

Results
For the electronic total energy, the calculation gives -5.0806 eV per atom. As for the crystal system: monoclinic. Its symmetry is No. 6.

What is the electronic total energy in the first record?
-5.3177 eV per atom

Copy entry 1 word for word.
First-principles (PBE) data for crystalline ZnGeOs at its relaxed geometry, as listed in OQMD via LeMat-Bulk.

Lattice parameters (Å, degrees): 4.1133 4.1133 4.1133 60.00 60.00 60.00
Sites, in units of the cell vectors:
Ge (0.0000, 0.0000, 0.0000)
Os (0.2500, 0.2500, 0.2500)
Zn (0.7500, 0.7500, 0.7500)

Results
For the electronic total energy, the calculation gives -5.3177 eV per atom. As for the crystal system: cubic. Its symmetry is No. 216.